The following is a PBE calculation of CdHgTeO after structural relaxation, from OQMD.

Output
Space group: No. 62
E above lowest polymorph: 0.32 eV per formula unit
Calculated total energy: -2.69 eV per atom

The structure in POSCAR format:
```
CdHgTeO
1.0
6.3844 0.0000 0.0000
0.0000 4.0434 0.0000
0.0000 0.0000 14.8009
Cd Hg Te O
4 4 4 4
Cartesian
0.6567 1.0108 2.6671 Cd
2.5355 3.0325 10.0675 Cd
3.8489 1.0108 4.7334 Cd
5.7277 3.0325 12.1338 Cd
0.8652 3.0325 5.6191 Hg
2.3270 1.0108 13.0195 Hg
4.0574 3.0325 1.7814 Hg
5.5192 1.0108 9.1818 Hg
1.4653 3.0325 0.8396 Te
1.7269 1.0108 8.2400 Te
4.6576 3.0325 6.5609 Te
4.9191 1.0108 13.9613 Te
1.5582 3.0325 12.0298 O
1.6340 1.0108 4.6294 O
4.7504 3.0325 10.1715 O
4.8262 1.0108 2.7711 O
```


The following is a PBE calculation of CdHgTeO after structural relaxation, from OQMD.

Output
Space group: No. 63
E above lowest polymorph: 0.56 eV per formula unit
Calculated total energy: -2.63 eV per atom

The structure in POSCAR format:
```
CdHgTeO
1.0
1.5793 -9.1193 0.0000
1.5793 9.1193 0.0000
0.0000 0.0000 5.9366
Cd Hg Te O
2 2 2 2
Cartesian
1.5793 8.4438 4.4525 Cd
1.5793 -8.4438 1.4842 Cd
1.5793 2.4260 4.4525 Hg
1.5793 -2.4260 1.4842 Hg
1.5793 3.4008 1.4842 Te
1.5793 -3.4008 4.4525 Te
1.5793 0.0000 0.0000 O
1.5793 0.0000 2.9683 O
```


Repeat the second record exactly.
The following is a PBE calculation of CdHgTeO after structural relaxation, from OQMD.

Output
Space group: No. 63
E above lowest polymorph: 0.56 eV per formula unit
Calculated total energy: -2.63 eV per atom

The structure in POSCAR format:
```
CdHgTeO
1.0
1.5793 -9.1193 0.0000
1.5793 9.1193 0.0000
0.0000 0.0000 5.9366
Cd Hg Te O
2 2 2 2
Cartesian
1.5793 8.4438 4.4525 Cd
1.5793 -8.4438 1.4842 Cd
1.5793 2.4260 4.4525 Hg
1.5793 -2.4260 1.4842 Hg
1.5793 3.4008 1.4842 Te
1.5793 -3.4008 4.4525 Te
1.5793 0.0000 0.0000 O
1.5793 0.0000 2.9683 O
```


Which of these has the highest E above lowest polymorph? number 2


Copy entry 1 word for word.
The following is a PBE calculation of CdHgTeO after structural relaxation, from OQMD.

Output
Space group: No. 62
E above lowest polymorph: 0.32 eV per formula unit
Calculated total energy: -2.69 eV per atom

The structure in POSCAR format:
```
CdHgTeO
1.0
6.3844 0.0000 0.0000
0.0000 4.0434 0.0000
0.0000 0.0000 14.8009
Cd Hg Te O
4 4 4 4
Cartesian
0.6567 1.0108 2.6671 Cd
2.5355 3.0325 10.0675 Cd
3.8489 1.0108 4.7334 Cd
5.7277 3.0325 12.1338 Cd
0.8652 3.0325 5.6191 Hg
2.3270 1.0108 13.0195 Hg
4.0574 3.0325 1.7814 Hg
5.5192 1.0108 9.1818 Hg
1.4653 3.0325 0.8396 Te
1.7269 1.0108 8.2400 Te
4.6576 3.0325 6.5609 Te
4.9191 1.0108 13.9613 Te
1.5582 3.0325 12.0298 O
1.6340 1.0108 4.6294 O
4.7504 3.0325 10.1715 O
4.8262 1.0108 2.7711 O
```